KZn2In: relaxed, GGA-PBEsol.

Cell and atoms, written as POSCAR:
```
KZn2In
1.0
3.3885 -4.8817 0.0000
3.3885 4.8817 0.0000
-0.7961 0.0000 2.8220
K Zn In
1 2 1
direct
0.0000 0.0000 0.0000
0.0000 0.5000 0.5000
0.5000 0.0000 0.5000
0.5000 0.5000 0.0000
```

Calculated values
M_tot, μB/f.u.: 0.00
Fermi-level density of states, states/eV per atom: 0.452
Formation enthalpy at 0 K, eV per atom: 0.298